1.
## TlInSe2 (PBE)

Data for an optimized crystal structure of TlInSe2.

## Properties
* ΔE_f (raw): -0.502 eV/atom
* Fermi-level density of states: 0.07 states/eV/cell

a = 4.081 Å, b = 4.081 Å, c = 8.091 Å
α = 75.39°, β = 75.39°, γ = 60.00°
Fractional coordinates of all 4 atoms:
Tl1 0.499 0.499 0.503
Se1 0.267 0.267 0.198
Se2 0.066 0.066 0.801
In1 0.667 0.667 0.999

***

2.
## Pm2InBiO6 (PBE)

Data for an optimized crystal structure of Pm2InBiO6.

## Properties
* ΔE_f (raw): -2.161 eV/atom
* Fermi-level density of states: 0.00 states/eV/cell

a = 5.650 Å, b = 5.468 Å, c = 5.468 Å
α = 90.00°, β = 90.00°, γ = 90.00°
Fractional coordinates of all 10 atoms:
O1 0.143 0.500 0.500
O2 0.203 0.000 0.000
O3 0.751 0.756 0.244
O4 0.751 0.756 0.756
O5 0.751 0.244 0.244
O6 0.751 0.244 0.756
Pm1 0.985 0.500 0.000
Pm2 0.985 0.000 0.500
Bi1 0.557 0.500 0.500
In1 0.569 0.000 0.000

***

3.
## B2P2S (PBE)

Data for an optimized crystal structure of B2P2S.

## Properties
* ΔE_f (raw): 0.210 eV/atom

a = 4.437 Å, b = 4.614 Å, c = 5.680 Å
α = 89.14°, β = 69.87°, γ = 88.98°
Fractional coordinates of all 5 atoms:
P1 0.592 0.601 0.109
P2 0.885 0.263 0.205
B1 0.612 0.019 0.079
B2 0.320 0.275 0.115
S1 0.780 0.812 0.765

***

4.
## Pm2Y4Sb3N2 (PBE)

Data for an optimized crystal structure of Pm2Y4Sb3N2.

## Properties
* ΔE_f (raw): -1.214 eV/atom
* Fermi-level density of states: 6.43 states/eV/cell

a = 4.668 Å, b = 4.668 Å, c = 13.149 Å
α = 100.22°, β = 100.22°, γ = 90.00°
Fractional coordinates of all 11 atoms:
Pm1 0.307 0.307 0.614
Pm2 0.693 0.693 0.386
Y1 0.417 0.917 0.834
Y2 0.083 0.583 0.166
Y3 0.917 0.417 0.834
Y4 0.583 0.083 0.166
Sb1 0.823 0.823 0.646
Sb2 0.177 0.177 0.354
Sb3 0.000 0.000 0.000
N1 0.599 0.599 0.198
N2 0.401 0.401 0.802

***

5.
## Cu2Ni15Sb2 (PBE)

Data for an optimized crystal structure of Cu2Ni15Sb2.

## Properties
* ΔE_f (raw): 0.109 eV/atom
* Fermi-level density of states: 24.60 states/eV/cell

a = 6.249 Å, b = 6.249 Å, c = 6.249 Å
α = 81.26°, β = 81.26°, γ = 81.26°
Last column: magnetic moment on the atom in μB.
Fractional coordinates of all 19 atoms:
Ni1 0.000 0.314 0.686  0.34
Ni2 0.658 0.162 0.658  0.40
Ni3 0.342 0.838 0.342  0.40
Ni4 0.162 0.658 0.658  0.40
Ni5 0.342 0.342 0.838  0.40
Ni6 0.686 0.314 0.000  0.34
Ni7 0.838 0.342 0.342  0.40
Ni8 0.000 0.686 0.314  0.34
Ni9 0.000 0.000 0.500  0.42
Ni10 0.314 0.000 0.686  0.34
Ni11 0.000 0.500 0.000  0.42
Ni12 0.658 0.658 0.162  0.40
Ni13 0.314 0.686 0.000  0.34
Ni14 0.500 0.000 0.000  0.42
Ni15 0.686 0.000 0.314  0.34
Sb1 0.653 0.653 0.653  0.01
Sb2 0.347 0.347 0.347  0.01
Cu1 0.097 0.097 0.097  0.00
Cu2 0.903 0.903 0.903  0.00

***

6.
## SmPuNi4 (PBE)

Data for an optimized crystal structure of SmPuNi4.

## Properties
* calculated formation energy: -0.2833 eV/atom
* Fermi-level density of states: 16.91 states/eV/cell

a = 5.097 Å, b = 5.097 Å, c = 5.097 Å
α = 60.00°, β = 60.00°, γ = 60.00°
Last column: magnetic moment on the atom in μB.
Fractional coordinates of all 6 atoms:
Ni1 0.122 0.626 0.626  -0.12
Ni2 0.626 0.122 0.626  -0.12
Ni3 0.626 0.626 0.122  -0.12
Ni4 0.626 0.626 0.626  -0.12
Sm1 0.250 0.250 0.250  0.14
Pu1 0.000 0.000 0.000  5.15

***

| no. | uncorrected energy (eV/atom) |
| --- | --- |
| 1 | -3.5205 |
| 2 | -6.7480 |
| 3 | -5.4507 |
| 4 | -7.0668 |
| 5 | -5.3200 |
| 6 | -7.3127 |